A plane-wave DFT calculation with GGA-PBE was carried out for a relaxed structure of NbV6Rh.

CIF file:
```
data_NbV6Rh
_chemical_formula_sum 'Nb2 V12 Rh2'
_cell_length_a 6.206
_cell_length_b 7.589
_cell_length_c 4.960
_cell_angle_alpha 90.00
_cell_angle_beta 90.65
_cell_angle_gamma 90.00
_symmetry_space_group_name_H-M 'C 1 2/m 1'
_symmetry_Int_Tables_number 12
loop_
_symmetry_equiv_pos_as_xyz
'x,y,z'
'-x,-y,-z'
'-x,y,-z'
'x,-y,z'
'x+1/2,y+1/2,z'
'-x+1/2,-y+1/2,-z'
'-x+1/2,y+1/2,-z'
'x+1/2,-y+1/2,z'
loop_
_atom_site_label
_atom_site_fract_x
_atom_site_fract_y
_atom_site_fract_z
Nb1 0.000 0.000 0.000
V1 0.129 0.500 0.243
V2 0.163 0.302 0.742
Rh1 0.000 0.000 0.500
```

Results
Size of the total moment   0.00 μB/f.u.
Final energy   -8.96 eV per atom

=====

A plane-wave DFT calculation with GGA-PBE was carried out for a relaxed structure of NbVRh.

CIF file:
```
data_NbVRh
_chemical_formula_sum 'Nb4 V4 Rh4'
_cell_length_a 3.325
_cell_length_b 12.641
_cell_length_c 4.377
_cell_angle_alpha 90.00
_cell_angle_beta 90.00
_cell_angle_gamma 90.00
_symmetry_space_group_name_H-M 'C m c m'
_symmetry_Int_Tables_number 63
_symmetry_space_group_name_Hall '-C 2c 2'
loop_
_atom_site_label
_atom_site_fract_x
_atom_site_fract_y
_atom_site_fract_z
Nb1 0.000 0.089 0.250
V1 0.000 0.416 0.250
Rh1 0.000 0.239 0.750
```

Results
Size of the total moment   0.00 μB/f.u.
Final energy   -9.05 eV per atom

=====

A plane-wave DFT calculation with GGA-PBE was carried out for a relaxed structure of Nb6VRh12.

CIF file:
```
data_Nb6VRh12
_chemical_formula_sum 'Nb18 V3 Rh36'
_cell_length_a 9.7921
_cell_length_b 9.7921
_cell_length_c 10.9389
_cell_angle_alpha 90.00
_cell_angle_beta 90.00
_cell_angle_gamma 120.00
_symmetry_space_group_name_H-M 'R -3'
_symmetry_Int_Tables_number 148
_symmetry_space_group_name_Hall '-R 3'
loop_
_atom_site_label
_atom_site_fract_x
_atom_site_fract_y
_atom_site_fract_z
Nb1 0.0135 0.4167 0.2236
V1 0.0000 0.0000 0.5000
Rh1 0.0485 0.1831 0.3301
Rh2 0.0547 0.8605 0.9013
```

Results
Size of the total moment   0.00 μB/f.u.
Final energy   -8.59 eV per atom

=====

A plane-wave DFT calculation with GGA-PBE was carried out for a relaxed structure of Nb2V4Rh.

CIF file:
```
data_Nb2V4Rh
_chemical_formula_sum 'Nb4 V8 Rh2'
_cell_length_a 4.508
_cell_length_b 4.508
_cell_length_c 12.697
_cell_angle_alpha 90.00
_cell_angle_beta 90.00
_cell_angle_gamma 90.00
_symmetry_space_group_name_H-M 'I 4/m m m'
_symmetry_Int_Tables_number 139
_symmetry_space_group_name_Hall '-I 4 2'
loop_
_atom_site_label
_atom_site_fract_x
_atom_site_fract_y
_atom_site_fract_z
Nb1 0.000 0.000 0.123
V1 0.000 0.000 0.309
V2 0.000 0.500 0.000
Rh1 0.000 0.000 0.500
```

Results
Size of the total moment   0.00 μB/f.u.
Final energy   -8.10 eV per atom

=====

A plane-wave DFT calculation with GGA-PBE was carried out for a relaxed structure of NbVRh.

CIF file:
```
data_NbVRh
_chemical_formula_sum 'Nb2 V2 Rh2'
_cell_length_a 3.148
_cell_length_b 3.148
_cell_length_c 9.343
_cell_angle_alpha 90.00
_cell_angle_beta 90.00
_cell_angle_gamma 90.00
_symmetry_space_group_name_H-M 'I 4 m m'
_symmetry_Int_Tables_number 107
_symmetry_space_group_name_Hall 'I 4 -2'
loop_
_atom_site_label
_atom_site_fract_x
_atom_site_fract_y
_atom_site_fract_z
Nb1 0.000 0.000 0.000
V1 0.000 0.000 0.336
Rh1 0.000 0.000 0.677
```

Results
Size of the total moment   0.00 μB/f.u.
Final energy   -9.03 eV per atom

=====

A plane-wave DFT calculation with GGA-PBE was carried out for a relaxed structure of Nb2VRh4.

CIF file:
```
data_Nb2VRh4
_chemical_formula_sum 'Nb4 V2 Rh8'
_cell_length_a 5.811
_cell_length_b 5.139
_cell_length_c 7.897
_cell_angle_alpha 90.00
_cell_angle_beta 109.61
_cell_angle_gamma 90.00
_symmetry_space_group_name_H-M 'P 1 21/m 1'
_symmetry_Int_Tables_number 11
loop_
_symmetry_equiv_pos_as_xyz
'x,y,z'
'-x,-y,-z'
'-x,y+1/2,-z'
'x,-y+1/2,z'
loop_
_atom_site_label
_atom_site_fract_x
_atom_site_fract_y
_atom_site_fract_z
Nb1 0.081 0.250 0.413
Nb2 0.314 0.750 0.009
V1 0.062 0.250 0.820
Rh1 0.216 0.250 0.136
Rh2 0.313 0.750 0.405
Rh3 0.356 0.503 0.715
```

Results
Size of the total moment   0.00 μB/f.u.
Final energy   -8.69 eV per atom

=====

A plane-wave DFT calculation with GGA-PBE was carried out for a relaxed structure of NbV2Rh2.

CIF file:
```
data_NbV2Rh2
_chemical_formula_sum 'Nb2 V4 Rh4'
_cell_length_a 7.301
_cell_length_b 7.301
_cell_length_c 2.792
_cell_angle_alpha 90.00
_cell_angle_beta 90.00
_cell_angle_gamma 90.00
_symmetry_space_group_name_H-M 'P 4/m b m'
_symmetry_Int_Tables_number 127
_symmetry_space_group_name_Hall '-P 4 2ab'
loop_
_atom_site_label
_atom_site_fract_x
_atom_site_fract_y
_atom_site_fract_z
Nb1 0.000 0.000 0.000
V1 0.157 0.343 0.000
Rh1 0.142 0.642 0.500
```

Results
Size of the total moment   0.00 μB/f.u.
Final energy   -8.85 eV per atom

=====

A plane-wave DFT calculation with GGA-PBE was carried out for a relaxed structure of Nb4VRh7.

CIF file:
```
data_Nb4VRh7
_chemical_formula_sum 'Nb8 V2 Rh14'
_cell_length_a 10.620
_cell_length_b 4.576
_cell_length_c 9.509
_cell_angle_alpha 90.00
_cell_angle_beta 119.36
_cell_angle_gamma 90.00
_symmetry_space_group_name_H-M 'C 1 2/m 1'
_symmetry_Int_Tables_number 12
loop_
_symmetry_equiv_pos_as_xyz
'x,y,z'
'-x,-y,-z'
'-x,y,-z'
'x,-y,z'
'x+1/2,y+1/2,z'
'-x+1/2,-y+1/2,-z'
'-x+1/2,y+1/2,-z'
'x+1/2,-y+1/2,z'
loop_
_atom_site_label
_atom_site_fract_x
_atom_site_fract_y
_atom_site_fract_z
Nb1 0.089 0.000 0.271
Nb2 0.241 0.000 0.826
V1 0.000 0.500 0.500
Rh1 0.000 0.000 0.500
Rh2 0.070 0.500 0.828
Rh3 0.139 0.000 0.038
Rh4 0.214 0.500 0.409
```

Results
Size of the total moment   1.47 μB/f.u.
Final energy   -8.52 eV per atom